# PBE-GGA RbHoVCl6, relaxed
data_RbHoVCl6
_space_group_name_H-M_alt 'P -3 1 c'
_space_group_IT_number 163
_space_group_name_Hall '-P 3 2c'
_cell_length_a 6.6515
_cell_length_b 6.6515
_cell_length_c 14.9333
_cell_angle_alpha 90.00
_cell_angle_beta 90.00
_cell_angle_gamma 120.00
loop_
_atom_site_label
_atom_site_type_symbol
_atom_site_fract_x
_atom_site_fract_y
_atom_site_fract_z
Rb1 Rb 0.0000 0.0000 0.0000
Ho1 Ho 0.3333 0.6667 0.2500
V1 V 0.3333 0.6667 0.7500
Cl1 Cl 0.0161 0.3759 0.6517
# energy relative to the elements, uncorrected	-1.8617	eV/atom
# VASP energy	-85.0	eV/cell

***

# PBE-GGA RbHoZnCl6, relaxed
data_RbHoZnCl6
_space_group_name_H-M_alt 'P -3 1 c'
_space_group_IT_number 163
_space_group_name_Hall '-P 3 2c'
_cell_length_a 6.7237
_cell_length_b 6.7237
_cell_length_c 14.6822
_cell_angle_alpha 90.00
_cell_angle_beta 90.00
_cell_angle_gamma 120.00
loop_
_atom_site_label
_atom_site_type_symbol
_atom_site_fract_x
_atom_site_fract_y
_atom_site_fract_z
Rb1 Rb 0.0000 0.0000 0.0000
Ho1 Ho 0.3333 0.6667 0.2500
Zn1 Zn 0.3333 0.6667 0.7500
Cl1 Cl 0.0153 0.3841 0.6497
# energy relative to the elements, uncorrected	-1.8354	eV/atom
# VASP energy	-68.8	eV/cell

***

# PBE-GGA HoReCl, relaxed
data_HoReCl
_space_group_name_H-M_alt 'P m m n'
_space_group_IT_number 59
_cell_length_a 3.612
_cell_length_b 3.631
_cell_length_c 10.640
_cell_angle_alpha 90.00
_cell_angle_beta 90.00
_cell_angle_gamma 90.00
loop_
_space_group_symop_operation_xyz
'x,y,z'
'-x,-y,-z'
'-x+1/2,-y+1/2,z'
'x+1/2,y+1/2,-z'
'x+1/2,-y,-z'
'-x+1/2,y,z'
'-x,y+1/2,-z'
'x,-y+1/2,z'
loop_
_atom_site_label
_atom_site_type_symbol
_atom_site_fract_x
_atom_site_fract_y
_atom_site_fract_z
Ho1 Ho 0.250 0.250 0.227
Re1 Re 0.250 0.750 0.000
Cl1 Cl 0.250 0.250 0.648
# energy relative to the elements, uncorrected	-0.8588	eV/atom
# VASP energy	-42.9	eV/cell

***

Please write out number 3 again, unchanged.
# PBE-GGA HoReCl, relaxed
data_HoReCl
_space_group_name_H-M_alt 'P m m n'
_space_group_IT_number 59
_cell_length_a 3.612
_cell_length_b 3.631
_cell_length_c 10.640
_cell_angle_alpha 90.00
_cell_angle_beta 90.00
_cell_angle_gamma 90.00
loop_
_space_group_symop_operation_xyz
'x,y,z'
'-x,-y,-z'
'-x+1/2,-y+1/2,z'
'x+1/2,y+1/2,-z'
'x+1/2,-y,-z'
'-x+1/2,y,z'
'-x,y+1/2,-z'
'x,-y+1/2,z'
loop_
_atom_site_label
_atom_site_type_symbol
_atom_site_fract_x
_atom_site_fract_y
_atom_site_fract_z
Ho1 Ho 0.250 0.250 0.227
Re1 Re 0.250 0.750 0.000
Cl1 Cl 0.250 0.250 0.648
# energy relative to the elements, uncorrected	-0.8588	eV/atom
# VASP energy	-42.9	eV/cell